(1)
LiLaGdPb | Alexandria | PBE-GGA | optimized geometry; total magnetic moment = 7.86 μB per formula unit; E_form = -0.32 eV per atom; ρ = 7.3 g/cm3
1.0
-4.9127 -2.2275 0.9365
-2.4424 -2.9776 -3.8914
-0.4788 -5.4211 0.5972
Pb Gd Li La
1 1 1 1
direct
0.2500 0.2500 0.2500 Pb
0.5000 0.5000 0.5000 Gd
0.7500 0.7500 0.7500 Li
0.0000 0.0000 0.0000 La



(2)
InFeNi | Alexandria | PBE-GGA | optimized geometry; total magnetic moment = 3.05 μB per formula unit; offset from the most stable computed form = 0.0 kJ per mole of atoms; E_form = 0.11 eV per atom; ρ = 8.6 g/cm3
1.0
-3.5105 1.6648 -2.0452
3.1038 -2.0791 -2.3069
-2.5600 -4.5698 0.6742
In Fe Ni
2 2 2
direct
0.6667 0.3333 0.7500 In
0.3333 0.6667 0.2500 In
0.0000 0.0000 0.0000 Fe
0.0000 0.0000 0.5000 Fe
0.6667 0.3333 0.2500 Ni
0.3333 0.6667 0.7500 Ni



(3)
La2Nd3TmAs6 | Alexandria | PBE-GGA | optimized geometry; total magnetic moment = 0.00 μB per formula unit; E_form = -1.51 eV per atom; ρ = 6.7 g/cm3
1.0
4.2783 0.0000 0.0000
0.0000 8.5481 0.2999
-2.1392 -2.4667 8.9839
La Nd Tm As
2 3 1 6
direct
0.8351 0.6696 0.6703 La
0.1649 0.3304 0.3297 La
0.5000 0.5000 0.0000 Nd
0.8329 0.1656 0.6658 Nd
0.1671 0.8344 0.3342 Nd
0.5000 0.0000 0.0000 Tm
0.3370 0.9219 0.6740 As
0.6658 0.5855 0.3316 As
0.6630 0.0781 0.3260 As
0.9983 0.2402 0.9965 As
0.0017 0.7598 0.0035 As
0.3342 0.4145 0.6684 As



(4)
Mn2FeMoIr | Alexandria | PBE-GGA | optimized geometry; total magnetic moment = 10.26 μB per formula unit; E_form = 1.43 eV per atom; ρ = 7.1 g/cm3
1.0
-3.8108 2.7003 0.8054
-2.8099 -3.5711 -1.3220
-0.1466 -1.5427 4.4789
Mo Ir Fe Mn
1 1 1 2
direct
0.0000 0.5000 0.0000 Mo
0.0000 0.0000 0.0000 Ir
0.5000 0.5000 0.5000 Fe
0.0000 0.0000 0.5000 Mn
0.5000 0.0000 0.0000 Mn



(5)
Zr2P2W | Alexandria | PBE-GGA | optimized geometry; total magnetic moment = 0.00 μB per formula unit; E_form = -0.88 eV per atom; ρ = 8.6 g/cm3
1.0
6.6937 0.0000 0.0000
0.0000 6.6937 0.0000
0.0000 0.0000 3.6932
P Zr W
4 4 2
direct
0.3550 0.8550 0.0000 P
0.8550 0.6450 0.0000 P
0.6450 0.1450 0.0000 P
0.1450 0.3550 0.0000 P
0.1612 0.6612 0.5000 Zr
0.6612 0.8388 0.5000 Zr
0.8388 0.3388 0.5000 Zr
0.3388 0.1612 0.5000 Zr
0.0000 0.0000 0.0000 W
0.5000 0.5000 0.0000 W



(6)
ZnIn2Ag | Alexandria | PBE-GGA | optimized geometry; total magnetic moment = 0.00 μB per formula unit; E_form = 0.03 eV per atom; ρ = 7.8 g/cm3
1.0
4.4426 0.0000 0.0000
0.0000 3.6477 -0.0054
0.0000 1.8500 5.2949
Zn Ag In
1 1 2
direct
0.0000 0.7026 0.4715 Zn
0.5000 0.5507 0.7733 Ag
0.0000 0.9681 0.9360 In
0.5000 0.2786 0.3192 In



(7)
CdOsBr2 | Alexandria | PBE-GGA | optimized geometry; total magnetic moment = 0.00 μB per formula unit; offset from the most stable computed form = 83.2 kJ per mole of atoms; ρ = 9.6 g/cm3
1.0
-3.5620 -1.8519 -2.8893
3.6668 0.3982 -3.2958
1.0009 -3.0815 0.7412
Os Br Cd
1 2 1
direct
0.0000 0.5000 0.5000 Os
0.0000 0.0000 0.0000 Br
0.5000 0.5000 0.0000 Br
0.5000 0.0000 0.5000 Cd



(8)
MgSiOs2 | Alexandria | PBE-GGA | optimized geometry; total magnetic moment = 0.00 μB per formula unit; total DFT energy (no corrections) = -28.2 eV per cell; ρ = 12.4 g/cm3
1.0
-1.3270 -3.0028 2.8450
1.8691 -3.9212 0.0498
2.5693 -1.1396 3.3123
Mg Os Si
1 2 1
direct
0.5000 0.5000 0.5000 Mg
0.0000 0.0000 0.0000 Os
0.2500 0.2500 0.2500 Os
0.7500 0.7500 0.7500 Si



(9)
Hf3ScAg | Alexandria | PBE-GGA | optimized geometry; total magnetic moment = 0.00 μB per formula unit; offset from the most stable computed form = 37.0 kJ per mole of atoms; E_form = 1.31 eV per atom; ρ = 9.2 g/cm3
1.0
-3.8772 2.5862 -1.7874
0.7217 -2.0301 -4.5026
-3.0598 -3.7558 1.2030
Sc Hf Ag
1 3 1
direct
0.0000 0.0000 0.0000 Sc
0.0000 0.5000 0.0000 Hf
0.0000 0.0000 0.5000 Hf
0.5000 0.0000 0.0000 Hf
0.5000 0.5000 0.5000 Ag



(10)
PuNp4S10 | Alexandria | PBE-GGA | optimized geometry; total magnetic moment = 16.00 μB per formula unit; total DFT energy (no corrections) = -127.4 eV per cell; ρ = 7.6 g/cm3
1.0
-5.3438 1.8974 -3.0125
0.3196 -0.6643 -7.8287
-5.2969 -5.7164 -1.0479
Pu Np S
1 4 10
direct
0.0000 0.0000 0.0000 Pu
0.3995 0.8007 0.4002 Np
0.7998 0.5998 0.8007 Np
0.2002 0.4002 0.1993 Np
0.6005 0.1993 0.5998 Np
0.2500 0.5000 0.5000 S
0.6480 0.3019 0.8986 S
0.0502 0.1014 0.3019 S
0.4534 0.8986 0.6981 S
0.8484 0.6981 0.1014 S
0.3520 0.6981 0.1014 S
0.7500 0.5000 0.5000 S
0.1516 0.3019 0.8986 S
0.5466 0.1014 0.3019 S
0.9498 0.8986 0.6981 S



(11)
Dy5Th2Sc4 | Alexandria | PBE-GGA | optimized geometry; total magnetic moment = 0.00 μB per formula unit; offset from the most stable computed form = 24.8 kJ per mole of atoms; E_form = 0.41 eV per atom; ρ = 7.2 g/cm3
1.0
3.3842 0.0000 0.0000
0.0000 7.1305 0.0000
-1.6921 -3.5653 13.8729
Dy Th Sc
5 2 4
direct
0.8051 0.0646 0.6101 Dy
0.8051 0.5455 0.6101 Dy
0.1949 0.4545 0.3899 Dy
0.1949 0.9354 0.3899 Dy
0.5000 0.0000 0.0000 Dy
0.8986 0.8986 0.7972 Th
0.1014 0.1014 0.2028 Th
0.0000 0.3284 0.0000 Sc
0.5976 0.5976 0.1953 Sc
0.0000 0.6716 0.0000 Sc
0.4024 0.4024 0.8047 Sc



(12)
AlFe5Si4 | Alexandria | PBE-GGA | optimized geometry; total magnetic moment = 0.00 μB per formula unit; total DFT energy (no corrections) = -72.7 eV per cell; ρ = 6.5 g/cm3
1.0
2.7708 0.0000 0.0000
0.0000 2.7708 0.0000
0.0000 0.0000 13.9264
Al Fe Si
1 5 4
direct
0.0000 0.0000 0.0000 Al
0.5000 0.5000 0.1094 Fe
0.5000 0.5000 0.3041 Fe
0.5000 0.5000 0.5000 Fe
0.5000 0.5000 0.6959 Fe
0.5000 0.5000 0.8906 Fe
0.0000 0.0000 0.2006 Si
0.0000 0.0000 0.4004 Si
0.0000 0.0000 0.5996 Si
0.0000 0.0000 0.7994 Si